(1)
The following is a DFT calculation (PBE) of a relaxed La2Cr2Si2C crystal.

Cell lengths 4.023, 4.023, 8.600 Å; angles 103.52, 103.52, 90.00 degrees
Last column: magnetic moment on the atom in μB.
Element x y z (fractional)
1 La 0.158 0.158 0.316  -0.01
2 La 0.842 0.842 0.684  -0.01
3 Cr 0.000 0.500 0.000  0.48
4 Cr 0.500 0.000 0.000  0.48
5 Si 0.410 0.410 0.820  -0.01
6 Si 0.590 0.590 0.180  -0.01
7 C 0.000 0.000 0.000  -0.04

- DOS(E_F): 5.8 states/eV/f.u.
- Final energy: -52.23 eV/cell

(2)
The following is a DFT calculation (PBE) of a relaxed LaTa2CrC crystal.

Cell lengths 4.629, 3.864, 4.629 Å; angles 90.00, 90.00, 90.00 degrees
Element x y z (fractional)
1 Cr 0.000 0.500 0.000
2 C 0.000 0.000 0.000
3 La 0.500 0.500 0.500
4 Ta 0.000 0.000 0.500
5 Ta 0.500 0.000 0.000

- Calculated formation energy: 1.8 eV/f.u.
- DOS(E_F): 5.3 states/eV/f.u.
- Final energy: -45.71 eV/cell

(3)
The following is a DFT calculation (PBE) of a relaxed LaTaCrC3 crystal.

Cell lengths 3.382, 7.224, 7.604 Å; angles 105.89, 90.00, 90.00 degrees
Element x y z (fractional)
1 La 0.750 0.803 0.792
2 La 0.250 0.197 0.208
3 Ta 0.250 0.647 0.140
4 Ta 0.750 0.353 0.860
5 Cr 0.250 0.097 0.608
6 Cr 0.750 0.903 0.392
7 C 0.250 0.826 0.463
8 C 0.750 0.874 0.148
9 C 0.750 0.450 0.149
10 C 0.750 0.174 0.537
11 C 0.250 0.550 0.851
12 C 0.250 0.126 0.852

- Calculated formation energy: -0.4 eV/f.u.
- DOS(E_F): 2.4 states/eV/f.u.
- Final energy: -108.98 eV/cell

(4)
The following is a DFT calculation (PBE) of a relaxed La2TbCr2C4 crystal.

Cell lengths 3.513, 6.951, 6.184 Å; angles 108.13, 90.00, 104.64 degrees
Element x y z (fractional)
1 La 0.867 0.735 0.461
2 La 0.133 0.265 0.539
3 Tb 0.000 0.000 0.000
4 Cr 0.318 0.637 0.998
5 Cr 0.682 0.363 0.002
6 C 0.787 0.574 0.837
7 C 0.213 0.426 0.163
8 C 0.444 0.889 0.225
9 C 0.556 0.111 0.775

- Calculated formation energy: -1.1 eV/f.u.
- DOS(E_F): 5.3 states/eV/f.u.
- Final energy: -71.70 eV/cell

- Which formula does entry 2 have?
  LaTa2CrC